Entry 1:
The following is a DFT calculation (meta-GGA SCAN) of a PBEsol-optimized structure of NaGdH2S2O9.

a = 6.862 Å, b = 6.862 Å, c = 12.737 Å
α = 90.00°, β = 90.00°, γ = 120.00°
Site moments in Bohr magnetons follow the coordinates.
Element x y z (fractional)
O 0.134 0.647 0.500  -0.01
O 0.874 0.495 0.350  -0.01
H 0.952 0.050 0.374  0.00
O 0.385 0.128 0.827  -0.01
S 0.442 0.986 0.759  0.00
O 0.353 0.487 0.166  -0.01
S 0.455 0.014 0.241  0.00
O 0.411 0.172 0.302  -0.01
O 0.513 0.866 0.833  -0.01
O 0.760 0.589 0.635  -0.01
O 0.505 0.379 0.017  -0.01
S 0.014 0.455 0.426  0.00
Na 0.000 0.472 0.167  0.00
O 0.621 0.126 0.683  -0.01
Gd 0.000 0.434 0.667  6.97
S 0.545 0.558 0.092  0.00
O 0.495 0.874 0.317  -0.01
O 0.866 0.513 0.834  -0.01
H 0.902 0.950 0.626  0.00
O 0.487 0.353 0.500  -0.01
O 0.744 0.615 0.160  -0.01
H 0.950 0.902 0.041  0.00
S 0.558 0.545 0.574  0.00
Gd 0.566 0.566 0.333  6.97
O 0.589 0.760 0.032  -0.01
O 0.128 0.385 0.840  -0.01
O 0.828 0.240 0.968  -0.01
O 0.379 0.505 0.650  -0.01
H 0.098 0.048 0.708  0.00
O 0.915 0.915 0.333  -0.01
O 0.872 0.256 0.494  -0.01
Na 0.528 0.528 0.833  0.00
H 0.050 0.952 0.292  0.00
S 0.986 0.442 0.908  0.00
Na 0.472 0.000 0.500  0.00
O 0.647 0.134 0.167  -0.01
Gd 0.434 0.000 0.000  6.97
H 0.048 0.098 0.959  0.00
O 0.000 0.085 0.667  -0.01
O 0.615 0.744 0.506  -0.01
O 0.256 0.872 0.173  -0.01
O 0.172 0.411 0.365  -0.01
O 0.240 0.828 0.698  -0.01
O 0.085 0.000 0.000  -0.01
O 0.126 0.621 0.983  -0.01

DOS(E_F) = 0.00 states/eV/cell
Uncorrected energy = -528.77 eV for the cell shown
Crystal system = trigonal
Total magnetic moment = 6.9 μB/f.u.

***

Entry 2:
The following is a DFT calculation (meta-GGA SCAN) of a PBEsol-optimized structure of GdHSe.

a = 3.821 Å, b = 3.821 Å, c = 3.867 Å
α = 90.00°, β = 90.00°, γ = 120.00°
Site moments in Bohr magnetons follow the coordinates.
Element x y z (fractional)
H 0.333 0.667 0.000  -0.02
Se 0.667 0.333 0.500  -0.07
Gd 0.000 0.000 0.000  7.02

DOS(E_F) = 0.00 states/eV/cell
Uncorrected energy = -87.10 eV for the cell shown
Crystal system = hexagonal
Total magnetic moment = 7.0 μB/f.u.

***

Entry 3:
The following is a DFT calculation (meta-GGA SCAN) of a PBEsol-optimized structure of GdYH4.

a = 3.647 Å, b = 3.647 Å, c = 5.191 Å
α = 90.00°, β = 90.00°, γ = 90.00°
Site moments in Bohr magnetons follow the coordinates.
Element x y z (fractional)
Gd 0.000 0.000 0.000  7.10
H 0.000 0.500 0.254  -0.01
Y 0.500 0.500 0.500  -0.01
H 0.500 0.000 0.254  -0.01
H 0.000 0.500 0.746  -0.01
H 0.500 0.000 0.746  -0.01

DOS(E_F) = 1.37 states/eV/cell
Uncorrected energy = -105.13 eV for the cell shown
Crystal system = tetragonal
Total magnetic moment = 7.2 μB/f.u.